# NbVIn2 (PBE, relaxed)
data_NbVIn2
_cell_length_a 3.0151
_cell_length_b 3.0151
_cell_length_c 31.6679
_cell_angle_alpha 90.00
_cell_angle_beta 90.00
_cell_angle_gamma 120.00
_symmetry_space_group_name_H-M 'R -3 m'
_symmetry_Int_Tables_number 166
_symmetry_space_group_name_Hall '-R 3 2"'
loop_
_atom_site_label
_atom_site_fract_x
_atom_site_fract_y
_atom_site_fract_z
Nb1 0.0000 0.0000 0.0000
V1 0.0000 0.0000 0.5000
In1 0.0000 0.0000 0.4123
# **Final energy**: -5.568 eV per atom
# **DFT formation energy**: 0.598 eV/atom



# La2NdHg2 (PBE, relaxed)
data_La2NdHg2
_cell_length_a 4.094
_cell_length_b 7.682
_cell_length_c 10.345
_cell_angle_alpha 90.00
_cell_angle_beta 90.00
_cell_angle_gamma 90.00
_symmetry_space_group_name_H-M 'I m m m'
_symmetry_Int_Tables_number 71
_symmetry_space_group_name_Hall '-I 2 2'
loop_
_atom_site_label
_atom_site_fract_x
_atom_site_fract_y
_atom_site_fract_z
La1 0.000 0.000 0.207
Nd1 0.000 0.500 0.000
Hg1 0.000 0.301 0.500
# **Final energy**: -3.346 eV per atom
# **DFT formation energy**: -0.301 eV/atom



# CaBeTcO5 (PBE, relaxed)
data_CaBeTcO5
_cell_length_a 6.505
_cell_length_b 8.607
_cell_length_c 7.242
_cell_angle_alpha 90.00
_cell_angle_beta 114.96
_cell_angle_gamma 90.00
_symmetry_space_group_name_H-M 'C 1 2/c 1'
_symmetry_Int_Tables_number 15
loop_
_symmetry_equiv_pos_as_xyz
'x,y,z'
'-x,-y,-z'
'-x,y,-z+1/2'
'x,-y,z+1/2'
'x+1/2,y+1/2,z'
'-x+1/2,-y+1/2,-z'
'-x+1/2,y+1/2,-z+1/2'
'x+1/2,-y+1/2,z+1/2'
loop_
_atom_site_label
_atom_site_fract_x
_atom_site_fract_y
_atom_site_fract_z
Ca1 0.000 0.164 0.250
Be1 0.000 0.188 0.750
Tc1 0.000 0.500 0.000
O1 0.000 0.433 0.250
O2 0.099 0.293 0.615
O3 0.193 0.066 0.907
# **Energy relative to the elements, uncorrected**: -2.09 eV/atom
# **Final energy**: -7.204 eV per atom



# Tb3Pm6Nd2 (PBE, relaxed)
data_Tb3Pm6Nd2
_cell_length_a 6.004
_cell_length_b 8.650
_cell_length_c 15.993
_cell_angle_alpha 90.00
_cell_angle_beta 100.75
_cell_angle_gamma 90.00
_symmetry_space_group_name_H-M 'C 1 2/m 1'
_symmetry_Int_Tables_number 12
loop_
_symmetry_equiv_pos_as_xyz
'x,y,z'
'-x,-y,-z'
'-x,y,-z'
'x,-y,z'
'x+1/2,y+1/2,z'
'-x+1/2,-y+1/2,-z'
'-x+1/2,y+1/2,-z'
'x+1/2,-y+1/2,z'
loop_
_atom_site_label
_atom_site_fract_x
_atom_site_fract_y
_atom_site_fract_z
Tb1 0.000 0.000 0.000
Tb2 0.165 0.500 0.332
Pm1 0.058 0.329 0.116
Pm2 0.223 0.000 0.447
Nd1 0.114 0.000 0.230
# **Final energy**: -4.321 eV per atom
# **DFT formation energy**: 0.400 eV/atom



# Mg2Bi5Pd12 (PBE, relaxed)
data_Mg2Bi5Pd12
_cell_length_a 16.231
_cell_length_b 5.722
_cell_length_c 8.960
_cell_angle_alpha 90.00
_cell_angle_beta 108.75
_cell_angle_gamma 90.00
_symmetry_space_group_name_H-M 'C 1 2/m 1'
_symmetry_Int_Tables_number 12
loop_
_symmetry_equiv_pos_as_xyz
'x,y,z'
'-x,-y,-z'
'-x,y,-z'
'x,-y,z'
'x+1/2,y+1/2,z'
'-x+1/2,-y+1/2,-z'
'-x+1/2,y+1/2,-z'
'x+1/2,-y+1/2,z'
loop_
_atom_site_label
_atom_site_fract_x
_atom_site_fract_y
_atom_site_fract_z
Mg1 0.000 0.244 0.000
Bi1 0.000 0.000 0.500
Bi2 0.147 0.500 0.846
Bi3 0.193 0.500 0.356
Pd1 0.021 0.500 0.319
Pd2 0.093 0.000 0.271
Pd3 0.152 0.251 0.588
Pd4 0.192 0.234 0.106
# **Final energy**: -4.636 eV per atom
# **DFT formation energy**: -0.167 eV/atom



# PaBeNbSi2 (PBE, relaxed)
data_PaBeNbSi2
_cell_length_a 3.834
_cell_length_b 3.834
_cell_length_c 11.487
_cell_angle_alpha 90.00
_cell_angle_beta 90.00
_cell_angle_gamma 90.00
_symmetry_space_group_name_H-M 'I -4 m 2'
_symmetry_Int_Tables_number 119
_symmetry_space_group_name_Hall 'I -4 -2'
loop_
_atom_site_label
_atom_site_fract_x
_atom_site_fract_y
_atom_site_fract_z
Pa1 0.000 0.000 0.000
Be1 0.000 0.500 0.250
Nb1 0.000 0.500 0.750
Si1 0.000 0.000 0.396
# **Energy relative to the elements, uncorrected**: -0.40 eV/atom
# **Final energy**: -7.227 eV per atom